# 1
Y2FeMo | PBE | optimized geometry

abc: 9.2554 9.2554 9.2554
angles: 20.54 20.54 20.54
Each line ends with the local moment (μB).
Element x y z (fractional)
1 Mo 0.7500 0.7500 0.7500  -0.70
2 Y 0.9965 0.9965 0.9965  -0.20
3 Y 0.5035 0.5035 0.5035  -0.20
4 Fe 0.2500 0.2500 0.2500  2.23

Computed properties:
As for the energy above the most stable polymorph in this dataset: 485 meV/atom. As for the total magnetization: 0.80 μB per cell. The value obtained for the electronic total energy is -0.2724 Ha/atom. The density is 6.40 Mg/m³. For the density of states at the Fermi level, the calculation gives 1.50 states/eV per atom. The formation energy comes out at 642 meV/atom.

***

# 2
La4CoOsCl2 | PBE | optimized geometry

abc: 4.1091 7.0656 8.0118
angles: 107.30 90.00 90.00
Element x y z (fractional)
1 Co 0.0000 0.0000 0.0000
2 Os 0.5000 0.5000 0.0000
3 La 0.0000 0.7358 0.2050
4 La 0.5000 0.7684 0.7993
5 La 0.5000 0.2316 0.2007
6 La 0.0000 0.2642 0.7950
7 Cl 0.0000 0.5000 0.5000
8 Cl 0.5000 0.0000 0.5000

Computed properties:
As for the total magnetization: 0.00 μB per cell. The value obtained for the electronic total energy is -0.2261 Ha/atom. The density is 6.55 Mg/m³. For the density of states at the Fermi level, the calculation gives 0.49 states/eV per atom. The calculation puts the uncorrected formation energy at -0.93 eV per atom.

***

# 3
Pr4SmSn4 | PBE | optimized geometry

abc: 6.5025 9.6654 9.6654
angles: 90.00 90.00 90.00
Element x y z (fractional)
1 Pr 0.8673 0.5830 0.7909
2 Pr 0.6327 0.9170 0.7091
3 Pr 0.6327 0.0830 0.2909
4 Pr 0.1327 0.7909 0.4170
5 Pr 0.3673 0.2909 0.9170
6 Pr 0.8673 0.4170 0.2091
7 Pr 0.1327 0.2091 0.5830
8 Pr 0.3673 0.7091 0.0830
9 Sn 0.8609 0.7260 0.1098
10 Sn 0.8609 0.2740 0.8902
11 Sn 0.1391 0.1098 0.2740
12 Sn 0.6391 0.2260 0.6098
13 Sn 0.1391 0.8902 0.7260
14 Sn 0.3609 0.3902 0.2260
15 Sn 0.6391 0.7740 0.3902
16 Sn 0.3609 0.6098 0.7740
17 Sm 0.0000 0.0000 0.0000
18 Sm 0.5000 0.5000 0.5000

Computed properties:
As for the total magnetization: 0.00 μB per cell. The value obtained for the electronic total energy is -0.1806 Ha/atom. The density is 6.50 Mg/m³. For the density of states at the Fermi level, the calculation gives 0.88 states/eV per atom. The formation energy comes out at -487 meV/atom.

***

# 4
KErSn2 | PBE | optimized geometry

abc: 4.0457 4.0457 7.8939
angles: 90.00 90.00 90.00
Element x y z (fractional)
1 Sn 0.0000 0.0000 0.1867
2 Sn 0.0000 0.0000 0.8133
3 K 0.5000 0.5000 0.5000
4 Er 0.5000 0.5000 0.0000

Computed properties:
As for the energy above the most stable polymorph in this dataset: 0 meV/atom. As for the total magnetization: 0.00 μB per cell. The value obtained for the electronic total energy is -0.1404 Ha/atom. The density is 5.70 Mg/m³. For the density of states at the Fermi level, the calculation gives 0.42 states/eV per atom. The formation energy comes out at -405 meV/atom.

***

Copy entry 1 word for word.
Y2FeMo | PBE | optimized geometry

abc: 9.2554 9.2554 9.2554
angles: 20.54 20.54 20.54
Each line ends with the local moment (μB).
Element x y z (fractional)
1 Mo 0.7500 0.7500 0.7500  -0.70
2 Y 0.9965 0.9965 0.9965  -0.20
3 Y 0.5035 0.5035 0.5035  -0.20
4 Fe 0.2500 0.2500 0.2500  2.23

Computed properties:
As for the energy above the most stable polymorph in this dataset: 485 meV/atom. As for the total magnetization: 0.80 μB per cell. The value obtained for the electronic total energy is -0.2724 Ha/atom. The density is 6.40 Mg/m³. For the density of states at the Fermi level, the calculation gives 1.50 states/eV per atom. The formation energy comes out at 642 meV/atom.